Below is a crystal of NaTiPO5 relaxed with PBEsol, with properties calculated at the SCAN level.

Structure (extended XYZ):
```
64
Lattice="8.730 0.000 0.000 0.000 10.558 0.000 -0.001 0.000 9.181" Properties=species:S:1:pos:R:3 pbc="T T T"
Na 0.187 0.000 1.840
Na 2.015 7.274 4.464
Na 2.180 1.441 7.810
Na 4.017 2.976 1.808
Na 4.711 8.255 7.373
Na 6.549 6.719 1.371
Na 6.713 1.995 4.717
Na 8.541 5.279 7.341
Ti 0.992 2.674 3.308
Ti 1.066 5.505 1.370
Ti 3.320 8.041 1.361
Ti 3.432 0.281 3.361
Ti 5.296 5.560 5.820
Ti 5.409 2.762 7.820
Ti 7.663 0.226 7.811
Ti 7.736 7.953 5.873
P 0.658 8.084 8.677
P 0.790 10.539 5.130
P 3.558 2.969 5.148
P 3.703 5.469 8.662
P 5.026 0.190 0.519
P 5.171 8.248 4.033
P 7.938 5.260 4.051
P 8.070 2.805 0.504
O 0.006 1.719 8.798
O 0.046 9.467 8.964
O 0.052 0.943 4.163
O 0.374 9.079 4.861
O 0.453 7.651 7.204
O 0.488 0.402 6.592
O 1.684 4.086 2.362
O 2.033 2.893 4.934
O 2.173 8.194 8.957
O 2.191 1.472 2.593
O 2.187 5.367 8.944
O 2.187 6.773 2.099
O 2.323 0.065 4.949
O 2.719 9.413 2.418
O 3.833 2.559 6.617
O 3.912 5.893 7.191
O 4.016 4.408 4.863
O 4.312 4.086 8.958
O 4.320 2.008 4.194
O 4.350 1.275 8.819
O 4.379 6.554 0.362
O 4.408 7.287 4.986
O 4.416 9.365 0.223
O 4.712 9.687 4.318
O 4.817 0.614 1.990
O 4.895 7.838 2.564
O 6.009 4.134 6.763
O 6.405 5.344 4.232
O 6.541 0.088 0.237
O 6.541 1.495 7.082
O 6.537 6.751 6.588
O 6.555 2.915 0.224
O 6.695 8.172 4.247
O 7.044 9.365 6.819
O 8.240 5.680 2.589
O 8.275 2.372 1.977
O 8.355 3.800 4.320
O 8.676 6.222 5.018
O 8.682 4.188 0.217
O 8.723 6.998 0.383
```

Properties
- SG = P2_1
- E (eV for the cell shown) = -675.33
- offset from the most stable computed form (eV/f.u.) = 0.13
- mass density (Mg/m³) = 2.85
- formation energy from raw total energies (eV per atom) = -2.827


Below is a crystal of NaTiPO5 relaxed with PBEsol, with properties calculated at the SCAN level.

Structure (extended XYZ):
```
64
Lattice="12.613 0.000 0.000 0.000 6.280 0.000 0.000 0.000 10.568" Properties=species:S:1:pos:R:3 pbc="T T T"
Na 1.277 1.531 0.000
Na 2.020 4.400 7.422
Na 4.286 1.260 2.138
Na 5.030 4.671 5.284
Na 7.583 1.608 0.000
Na 8.327 5.020 7.422
Na 10.593 1.880 2.138
Na 11.337 4.748 5.284
Ti 1.635 6.132 4.564
Ti 2.875 4.492 1.769
Ti 3.432 1.352 7.053
Ti 4.671 2.992 9.848
Ti 7.942 3.288 4.564
Ti 9.182 4.927 1.769
Ti 9.738 1.787 7.053
Ti 10.978 0.148 9.848
P 0.232 0.986 7.359
P 2.309 2.965 4.574
P 3.998 6.105 9.858
P 6.074 4.126 2.075
P 6.539 2.154 7.359
P 8.615 0.175 4.574
P 10.305 3.315 9.858
P 12.381 5.294 2.075
O 0.066 0.425 8.798
O 0.343 6.102 6.359
O 0.963 4.364 1.702
O 1.371 1.757 4.467
O 1.460 4.181 4.981
O 1.502 1.870 7.360
O 2.647 5.923 3.147
O 2.900 5.931 0.379
O 3.042 3.157 3.229
O 3.053 0.033 5.853
O 3.254 3.173 0.568
O 3.265 0.017 8.513
O 3.407 2.792 5.664
O 3.660 2.783 8.431
O 4.805 5.010 2.076
O 4.847 1.041 10.265
O 4.935 4.897 9.751
O 5.344 1.225 6.986
O 5.964 2.962 1.075
O 6.241 3.565 3.513
O 6.373 2.715 8.798
O 6.649 3.318 6.359
O 7.270 5.055 1.702
O 7.678 1.383 4.467
O 7.767 5.239 4.981
O 7.808 1.270 7.360
O 8.954 3.497 3.147
O 9.207 3.488 0.379
O 9.349 6.263 3.229
O 9.359 3.107 5.853
O 9.561 6.247 0.568
O 9.571 3.123 8.513
O 9.714 0.348 5.664
O 9.966 0.357 8.431
O 11.112 4.410 2.076
O 11.153 2.099 10.265
O 11.242 4.523 9.751
O 11.650 1.915 6.986
O 12.271 0.178 1.075
O 12.548 5.855 3.513
```

Properties
- SG = Pna2_1
- E (eV for the cell shown) = -675.20
- offset from the most stable computed form (eV/f.u.) = 0.15
- mass density (Mg/m³) = 2.89
- formation energy from raw total energies (eV per atom) = -2.825


Below is a crystal of NaTiPO5 relaxed with PBEsol, with properties calculated at the SCAN level.

Structure (extended XYZ):
```
32
Lattice="6.617 0.000 0.000 0.000 8.520 0.000 -3.001 0.000 6.421" Properties=species:S:1:pos:R:3 pbc="T T T"
Na 0.945 0.673 1.507
Na -0.556 3.587 4.718
Na 4.172 4.933 1.703
Na 2.672 7.847 4.914
Ti -1.299 6.343 6.341
Ti 0.202 6.437 3.131
Ti 3.415 2.083 3.290
Ti 4.915 2.177 0.080
P -0.597 0.594 4.812
P 0.903 3.666 1.601
P 2.714 4.855 4.819
P 4.214 7.926 1.609
O -1.370 1.517 3.837
O 0.130 2.743 0.627
O -0.079 4.552 2.415
O -1.580 8.228 5.625
O -0.584 5.816 4.817
O 0.916 6.964 1.606
O 1.905 4.535 0.798
O 0.405 8.245 4.008
O 0.153 1.541 5.778
O 1.653 2.719 2.567
O 1.963 5.801 3.854
O 3.464 6.979 0.643
O 3.212 0.275 2.412
O 1.712 3.985 5.623
O 2.701 1.556 4.815
O 4.201 2.704 1.604
O 5.196 0.292 0.796
O 3.696 3.968 4.006
O 3.487 5.778 5.794
O 4.987 7.003 2.584
```

Properties
- SG = P2_1/c
- E (eV for the cell shown) = -338.19
- offset from the most stable computed form (eV/f.u.) = 0.00
- mass density (Mg/m³) = 3.34
- formation energy from raw total energies (eV per atom) = -2.843


Below is a crystal of NaTi2P4O14 relaxed with PBEsol, with properties calculated at the SCAN level.

Structure (extended XYZ):
```
21
Lattice="4.876 0.000 0.000 -1.844 6.792 0.000 -0.536 -0.267 7.959" Properties=species:S:1:pos:R:3 pbc="T T T"
Na 0.000 0.000 0.000
Ti 0.041 -0.086 3.927
Ti 1.284 3.163 7.903
P -0.559 2.560 1.909
P -1.211 4.068 5.938
P 0.560 5.188 2.327
P 2.555 1.443 5.515
O -1.089 5.282 5.046
O 0.358 2.281 0.706
O -0.684 6.080 2.349
O 0.124 3.705 2.791
O 0.157 3.570 6.378
O 1.489 1.060 4.506
O 1.120 5.083 0.900
O 2.032 1.558 6.954
O 1.612 5.576 3.350
O 2.945 3.058 1.482
O 3.001 2.919 5.041
O 3.786 0.532 5.493
O 2.730 4.335 7.128
O 4.202 1.338 2.792
```

Properties
- SG = P1
- E (eV for the cell shown) = -222.25
- mass density (Mg/m³) = 2.94
- formation energy from raw total energies (eV per atom) = -2.721


Below is a crystal of NaTiPO5 relaxed with PBEsol, with properties calculated at the SCAN level.

Structure (extended XYZ):
```
32
Lattice="7.358 0.000 0.000 0.000 6.484 0.000 0.000 0.000 7.796" Properties=species:S:1:pos:R:3 pbc="T T T"
Na 0.000 0.000 0.000
Na 0.000 3.242 0.000
Na 3.679 0.000 3.898
Na 3.679 3.242 3.898
Ti 1.215 1.621 2.220
Ti 2.464 4.863 6.118
Ti 4.894 1.621 1.677
Ti 6.143 4.863 5.575
P 0.897 4.863 3.068
P 2.782 1.621 6.966
P 4.576 4.863 0.830
P 6.461 1.621 4.727
O 0.457 1.621 3.980
O 0.746 4.863 6.418
O 0.997 3.617 2.162
O 0.997 6.108 2.162
O 1.607 1.621 0.188
O 2.072 4.863 4.086
O 2.683 0.375 6.060
O 2.683 2.867 6.060
O 2.933 1.621 2.521
O 3.222 4.863 0.082
O 4.136 1.621 7.714
O 4.425 4.863 5.275
O 4.676 3.617 1.735
O 4.676 6.108 1.735
O 5.286 1.621 3.710
O 5.751 4.863 7.608
O 6.362 0.375 5.633
O 6.362 2.867 5.633
O 6.612 1.621 1.377
O 6.901 4.863 3.816
```

Properties
- SG = Pnma
- E (eV for the cell shown) = -337.53
- offset from the most stable computed form (eV/f.u.) = 0.16
- mass density (Mg/m³) = 3.25
- formation energy from raw total energies (eV per atom) = -2.823


Below is a crystal of NaTiP2O7 relaxed with PBEsol, with properties calculated at the SCAN level.

Structure (extended XYZ):
```
44
Lattice="7.407 0.000 0.000 0.000 7.942 0.000 -3.614 0.000 9.033" Properties=species:S:1:pos:R:3 pbc="T T T"
Na 0.828 0.182 1.894
Na -0.979 3.789 6.411
Na 4.772 4.153 2.622
Na 2.965 7.759 7.139
Ti -0.938 0.066 6.778
Ti 0.869 3.905 2.261
Ti 2.924 4.037 6.772
Ti 4.731 7.876 2.255
P -2.168 5.665 8.629
P -0.361 6.248 4.112
P 3.005 1.947 0.394
P 1.198 2.024 4.910
P 2.595 5.918 4.123
P 0.788 5.995 8.639
P 4.154 1.694 4.920
P 5.961 2.277 0.404
O -2.830 4.659 7.694
O -1.023 7.254 3.178
O -0.453 4.804 3.604
O -2.260 7.108 8.120
O 1.015 5.577 1.057
O -0.792 6.336 5.573
O -0.846 1.718 7.936
O 0.961 2.252 3.420
O 0.183 1.067 5.481
O 1.990 2.904 0.965
O -0.617 5.205 8.492
O 1.190 6.708 3.976
O 3.119 0.656 1.214
O 1.312 3.314 5.731
O 2.481 4.627 3.302
O 0.674 7.285 7.819
O 2.603 1.234 5.057
O 4.410 2.737 0.541
O 1.803 5.038 8.068
O 3.610 6.875 3.551
O 2.832 5.689 5.613
O 4.639 6.223 1.097
O 4.585 1.606 3.460
O 2.778 2.365 7.976
O 6.053 0.833 0.913
O 4.246 3.138 5.429
O 4.816 0.688 5.855
O 6.623 3.283 1.339
```

Properties
- SG = P2_1/c
- E (eV for the cell shown) = -456.97
- mass density (Mg/m³) = 3.06
- formation energy from raw total energies (eV per atom) = -2.689


Below is a crystal of Na2UP2O9 relaxed with PBEsol, with properties calculated at the SCAN level.

Structure (extended XYZ):
```
56
Lattice="13.236 0.000 0.000 0.000 8.174 0.000 0.000 0.000 6.962" Properties=species:S:1:pos:R:3 pbc="T T T"
Na 0.473 0.176 0.000
Na 2.166 2.188 1.884
Na 4.452 6.275 5.365
Na 6.145 4.264 3.481
Na 7.090 3.911 0.000
Na 8.784 1.899 1.884
Na 11.070 5.986 5.365
Na 12.763 7.998 3.481
U 2.659 6.146 1.830
U 3.959 2.059 5.311
U 9.277 6.115 1.830
U 10.577 2.028 5.311
P 1.009 2.836 5.317
P 1.305 5.833 5.311
P 5.313 1.745 1.829
P 5.609 6.923 1.836
P 7.627 1.251 5.317
P 7.923 6.429 5.311
P 11.931 2.342 1.829
P 12.227 5.338 1.836
O 0.155 6.809 5.295
O 0.315 6.094 1.786
O 0.581 4.377 5.407
O 1.858 2.422 6.530
O 1.919 2.599 4.114
O 2.166 5.852 4.047
O 2.192 5.985 6.552
O 2.307 7.936 1.830
O 3.015 4.375 1.784
O 3.603 0.288 5.265
O 4.311 3.849 5.311
O 4.426 1.897 3.070
O 4.452 1.765 0.566
O 4.699 6.687 0.633
O 4.760 6.509 3.049
O 6.037 0.290 1.926
O 6.303 2.007 5.268
O 6.463 2.722 1.814
O 6.773 5.452 5.295
O 6.933 6.167 1.786
O 7.199 7.884 5.407
O 8.476 1.665 6.530
O 8.537 1.488 4.114
O 8.783 6.409 4.047
O 8.810 6.277 6.552
O 8.925 4.325 1.830
O 9.633 7.886 1.784
O 10.221 3.799 5.265
O 10.929 0.238 5.311
O 11.044 2.190 3.070
O 11.070 2.322 0.566
O 11.317 5.575 0.633
O 11.378 5.752 3.049
O 12.655 3.797 1.926
O 12.921 2.080 5.268
O 13.081 1.365 1.814
```

Properties
- SG = Pna2_1
- E (eV for the cell shown) = -908.30
- mass density (Mg/m³) = 4.32
- formation energy from raw total energies (eV per atom) = -2.731


Below is a crystal of Na2VPO6 relaxed with PBEsol, with properties calculated at the SCAN level.

Structure (extended XYZ):
```
40
Lattice="11.466 0.000 0.000 0.000 4.864 0.000 0.000 0.000 8.910" Properties=species:S:1:pos:R:3 pbc="T T T"
Na 0.903 0.078 0.000
Na 1.370 2.593 2.599
Na 4.363 0.160 7.054
Na 4.829 2.510 4.455
Na 6.636 2.355 0.000
Na 7.103 4.704 2.599
Na 10.096 2.272 7.054
Na 10.562 4.787 4.455
V 1.488 2.186 5.917
V 4.245 4.618 1.462
V 7.220 0.246 5.917
V 9.978 2.679 1.462
P 2.572 0.307 4.191
P 3.161 2.739 8.646
P 8.305 2.125 4.191
P 8.894 4.557 8.646
O 0.237 3.206 5.620
O 0.807 1.121 6.948
O 1.170 1.024 4.272
O 2.436 3.526 0.866
O 2.567 3.664 4.379
O 2.587 3.106 7.232
O 3.146 0.674 2.777
O 3.166 1.232 8.834
O 3.297 1.094 5.321
O 4.563 3.457 8.727
O 4.926 3.553 2.493
O 5.496 0.774 1.165
O 5.970 4.091 5.620
O 6.540 1.311 6.948
O 6.903 1.408 4.272
O 8.169 3.770 0.866
O 8.300 3.632 4.379
O 8.320 4.191 7.232
O 8.879 1.759 2.777
O 8.899 1.200 8.834
O 9.029 1.338 5.321
O 10.296 3.840 8.727
O 10.659 3.744 2.493
O 11.229 1.658 1.165
```

Properties
- SG = Pna2_1
- E (eV for the cell shown) = -394.29
- offset from the most stable computed form (eV/f.u.) = 0.05
- mass density (Mg/m³) = 2.99
- formation energy from raw total energies (eV per atom) = -2.487